Material: Np6ScS12
Method: DFT, GGA-PBE
State: optimized geometry

Cell and atoms, written as POSCAR:
```
Np6ScS12
1.0
5.9393 3.4291 3.6667
-5.9393 3.4291 3.6667
0.0000 -6.8581 3.6667
Np Sc S
6 1 12
direct
0.1235 0.6337 0.8009 Np
0.1991 0.8765 0.3663 Np
0.3663 0.1991 0.8765 Np
0.6337 0.8009 0.1235 Np
0.8009 0.1235 0.6337 Np
0.8765 0.3663 0.1991 Np
0.5000 0.5000 0.5000 Sc
0.0690 0.3227 0.9205 S
0.0795 0.9310 0.6773 S
0.1797 0.5437 0.4358 S
0.3227 0.9205 0.0690 S
0.4358 0.1797 0.5437 S
0.4563 0.5642 0.8203 S
0.5437 0.4358 0.1797 S
0.5642 0.8203 0.4563 S
0.6773 0.0795 0.9310 S
0.8203 0.4563 0.5642 S
0.9205 0.0690 0.3227 S
0.9310 0.6773 0.0795 S
```

Computed properties:
- calculated density (g/cm³) = 6.86
- raw formation energy (eV per formula unit) = -27.1
- crystal system = trigonal
- M_tot (μB/atom) = 1.105
- volume (A^3/atom) = 23.58
- DOS(E_F) (states/eV/cell) = 53.7
- electronic total energy (eV per cell) = -160.59

Material: Dy3Ga9Tc2
Method: DFT, GGA-PBE
State: optimized geometry

Cell and atoms, written as POSCAR:
```
Dy3Ga9Tc2
1.0
-2.1256 4.7173 6.3386
2.1256 -4.7173 6.3386
2.1256 4.7173 -6.3386
Dy Ga Tc
3 9 2
direct
0.0000 0.0000 0.0000 Dy
0.3011 0.3011 0.0000 Dy
0.6989 0.6989 0.0000 Dy
0.0170 0.6527 0.3642 Ga
0.1515 0.8677 0.2838 Ga
0.2885 0.6527 0.6358 Ga
0.4161 0.1323 0.2838 Ga
0.5000 0.0000 0.5000 Ga
0.5839 0.8677 0.7162 Ga
0.7115 0.3473 0.3642 Ga
0.8485 0.1323 0.7162 Ga
0.9830 0.3473 0.6358 Ga
0.3245 0.5000 0.8245 Tc
0.6755 0.5000 0.1755 Tc
```

Computed properties:
- calculated density (g/cm³) = 8.56
- ΔH_f (0 K) (eV/f.u.) = -6.88
- crystal system = orthorhombic
- M_tot (μB/atom) = 0.000
- volume (A^3/atom) = 18.16
- DOS(E_F) (states/eV/cell) = 8.1
- electronic total energy (eV per cell) = -68.66